Record 1
Pu2TlB2Rh5 | GGA-PBE | optimized geometry

```
20
Lattice="3.2239 0.0000 0.0000 0.0000 9.8284 0.0000 0.0000 0.0000 9.8284" Properties=species:S:1:pos:R:3 pbc="T T T"
Pu 0.0000 6.6522 1.7380
Pu 0.0000 3.1761 8.0903
Pu 0.0000 1.7380 3.1761
Pu 0.0000 8.0903 6.6522
Tl 0.0000 0.0000 0.0000
Tl 0.0000 4.9142 4.9142
B 0.0000 1.1797 6.0939
B 0.0000 8.6487 3.7345
B 0.0000 6.0939 8.6487
B 0.0000 3.7345 1.1797
Rh 1.6120 2.2742 0.6916
Rh 1.6120 7.5541 9.1368
Rh 1.6120 0.6916 7.5541
Rh 1.6120 7.1884 4.2226
Rh 1.6120 9.1368 2.2742
Rh 1.6120 2.6400 5.6058
Rh 1.6120 5.6058 7.1884
Rh 1.6120 4.2226 2.6400
Rh 1.6120 4.9142 0.0000
Rh 1.6120 0.0000 4.9142
```

The total magnetic moment is 9.74 μB/f.u. For the total energy, the calculation gives -171.30 eV for the cell shown.

=====

Record 2
Pu3ZnB2Rh9 | GGA-PBE | optimized geometry

```
15
Lattice="-0.8216 0.9093 -5.7031 -3.4127 -3.7563 2.8760 -5.3446 6.2023 1.7589" Properties=species:S:1:pos:R:3 pbc="T T T"
Pu -5.9641 1.7620 1.1402
Pu 0.0000 0.0000 0.0000
Pu -3.6148 1.5933 -2.2084
Zn -2.6723 3.1012 0.8794
B -3.3404 -1.2827 0.2767
B -6.2385 4.6380 -1.3450
Rh -5.0715 4.5636 -3.0180
Rh -6.7794 2.6837 -1.5787
Rh -4.6603 4.1085 -0.1638
Rh -4.9186 -0.7532 -0.9045
Rh -2.7995 0.6716 0.5104
Rh -4.5074 -1.2083 1.9497
Rh -0.4108 0.4546 -2.8516
Rh -1.7063 -1.8782 1.4380
Rh -2.1171 -1.4235 -1.4136
```

The total magnetic moment is 12.25 μB/f.u. For the total energy, the calculation gives -129.54 eV for the cell shown.

=====

Record 3
PuB4Ru | GGA-PBE | optimized geometry

```
24
Lattice="5.9924 0.0000 0.0000 0.0000 11.6059 0.0000 0.0000 0.0000 3.5310" Properties=species:S:1:pos:R:3 pbc="T T T"
Pu 3.7605 4.0621 0.0000
Pu 2.2320 7.5437 0.0000
Pu 0.7643 1.7408 0.0000
Pu 5.2282 9.8651 0.0000
B 4.7136 2.1635 1.7655
B 1.2788 9.4423 1.7655
B 1.7174 3.6394 1.7655
B 4.2751 7.9665 1.7655
B 5.1820 0.3661 1.7655
B 0.8105 11.2398 1.7655
B 2.1858 5.4369 1.7655
B 3.8067 6.1690 1.7655
B 5.3112 5.2597 1.7655
B 0.6812 6.3462 1.7655
B 2.3150 0.5433 1.7655
B 3.6774 11.0626 1.7655
B 5.8360 3.5772 1.7655
B 0.1565 8.0287 1.7655
B 2.8397 2.2257 1.7655
B 3.1527 9.3801 1.7655
Ru 3.8201 1.0616 0.0000
Ru 2.1723 10.5442 0.0000
Ru 0.8239 4.7413 0.0000
Ru 5.1685 6.8645 0.0000
```

The total magnetic moment is 4.66 μB/f.u. For the total energy, the calculation gives -213.84 eV for the cell shown.

=====

Record 4
PuB2Ru2 | GGA-PBE | optimized geometry

```
10
Lattice="-0.8132 -1.6586 -3.0950 -0.7126 -3.4821 2.0533 -8.4662 2.8817 0.6803" Properties=species:S:1:pos:R:3 pbc="T T T"
Pu -2.8237 -2.1341 0.8362
Pu -7.1683 -0.1250 -1.1977
B -6.1161 -1.2693 1.2379
B -3.8759 -0.9898 -1.5993
B -8.8090 1.2478 0.5965
B -1.1830 -3.5069 -0.9580
Ru -8.4110 -0.7129 1.5427
Ru -1.5811 -1.5462 -1.9041
Ru -4.6511 0.1678 0.0828
Ru -5.3409 -2.4269 -0.4442
```

The total magnetic moment is 4.37 μB/f.u. For the total energy, the calculation gives -94.80 eV for the cell shown.

=====

Record 5
PuB4Ru4 | GGA-PBE | optimized geometry

```
18
Lattice="4.0534 0.0000 0.0000 0.0000 7.4545 0.0000 0.0000 0.0000 7.4545" Properties=species:S:1:pos:R:3 pbc="T T T"
Pu 0.0000 0.0000 0.0000
Pu 2.0267 3.7273 3.7273
B 2.4832 6.2208 2.1609
B 2.4832 1.2337 5.2936
B 0.4565 5.8881 4.9609
B 3.5969 2.4936 5.8881
B 3.5969 4.9609 1.5664
B 1.5702 2.1609 1.2337
B 1.5702 5.2936 6.2208
B 0.4565 1.5664 2.4936
Ru 1.5735 2.6702 6.6101
Ru 3.6002 4.5717 6.3974
Ru 1.5735 4.7843 0.8444
Ru 0.4532 1.0571 4.5717
Ru 2.4799 6.6101 4.7843
Ru 0.4532 6.3974 2.8828
Ru 3.6002 2.8828 1.0571
Ru 2.4799 0.8444 2.6702
```

The total magnetic moment is 4.16 μB/f.u. For the total energy, the calculation gives -163.19 eV for the cell shown.

=====

Record 6
PuB2Ru | GGA-PBE | optimized geometry

```
16
Lattice="-3.3478 2.1715 -3.6017 -4.0297 -3.8632 1.4164 -2.2480 3.9938 4.4974" Properties=species:S:1:pos:R:3 pbc="T T T"
Pu -4.8916 0.3444 -1.2627
Pu -3.2709 2.9763 -1.1823
Pu -4.7339 1.9577 3.5748
Pu -6.3546 -0.6742 3.4944
B -5.7409 5.3331 1.2251
B -5.7042 0.9895 1.1910
B -4.9774 -2.3221 -0.0887
B -2.8284 0.6038 2.2968
B -3.8846 -3.0310 1.0870
B -3.9212 1.3127 1.1211
B -4.6481 4.6243 2.4008
B -6.7970 1.6984 0.0153
Ru -5.2881 3.1714 0.8103
Ru -7.6001 1.7678 2.1131
Ru -4.3374 -0.8692 1.5018
Ru -2.0253 0.5343 0.1990
```

The total magnetic moment is 4.35 μB/f.u. For the distance to the lowest polymorph of the same formula, the calculation gives 0.00 eV/f.u. For the total energy, the calculation gives -155.07 eV for the cell shown.

=====

Record 7
PuB2Ru | GGA-PBE | optimized geometry

```
4
Lattice="3.2216 0.0000 0.0000 1.6108 2.7900 0.0000 1.6108 0.9300 5.7823" Properties=species:S:1:pos:R:3 pbc="T T T"
Ru 0.0000 0.0000 0.0000
B 1.6108 0.9300 1.1499
B 4.8324 2.7900 4.6324
Pu 3.2216 1.8600 2.8912
```

The total magnetic moment is 4.32 μB/f.u. For the distance to the lowest polymorph of the same formula, the calculation gives 1.98 eV/f.u. For the total energy, the calculation gives -36.78 eV for the cell shown.

=====

Record 8
PuB4Ru | GGA-PBE | optimized geometry

```
12
Lattice="5.9910 0.0017 0.0000 -1.4518 5.8124 0.0000 0.0000 0.0000 3.5241" Properties=species:S:1:pos:R:3 pbc="T T T"
Pu 0.7829 4.0678 0.0000
Pu 3.7563 1.7464 0.0000
B 2.1863 0.3742 1.7620
B 2.3529 5.4400 1.7620
B -0.1674 2.2117 1.7620
B 4.7066 3.6024 1.7620
B 1.7082 2.1880 1.7620
B 2.8310 3.6261 1.7620
B -0.7659 5.2769 1.7620
B 5.3051 0.5372 1.7620
Ru 0.8290 1.0619 0.0000
Ru 3.7102 4.7523 0.0000
```

The total magnetic moment is 4.63 μB/f.u. For the total energy, the calculation gives -106.91 eV for the cell shown.

=====

Record 9
PuB2Ru2 | GGA-PBE | optimized geometry

```
5
Lattice="3.6022 0.0072 -0.0283 1.7899 3.1261 -0.0283 0.0566 0.0329 6.4006" Properties=species:S:1:pos:R:3 pbc="T T T"
Pu 1.8011 0.0036 -0.0142
B 3.6170 1.0588 1.8972
B 1.8317 2.1073 4.4467
Ru 3.6328 1.0679 4.1259
Ru 1.8159 2.0982 2.2181
```

The total magnetic moment is 5.03 μB/f.u. For the total energy, the calculation gives -47.00 eV for the cell shown.

=====

Record 10
Pu2BRu3 | GGA-PBE | optimized geometry

```
6
Lattice="1.0434 -0.4120 4.6720 -1.3458 -4.3240 1.6055 3.8561 -2.8077 0.5774" Properties=species:S:1:pos:R:3 pbc="T T T"
Pu 1.3194 -2.8008 2.5451
Pu 2.2342 -4.7428 4.3098
B 0.0000 0.0000 0.0000
Ru 1.9280 -1.4038 0.2887
Ru 0.5217 -0.2060 2.3360
Ru -0.6729 -2.1620 0.8027
```

The total magnetic moment is 7.95 μB/f.u. For the total energy, the calculation gives -64.13 eV for the cell shown.

=====

Record 11
PuB2Ru3 | GGA-PBE | optimized geometry

```
6
Lattice="2.9172 0.0000 0.0000 0.0000 5.5294 0.0000 0.0000 -2.7647 4.7886" Properties=species:S:1:pos:R:3 pbc="T T T"
Ru 1.4586 1.3824 2.3943
Ru 1.4586 2.7647 0.0000
Ru 1.4586 -1.3824 2.3943
B 0.0000 2.7647 1.5962
B 0.0000 0.0000 3.1924
Pu 0.0000 0.0000 0.0000
```

The total magnetic moment is 0.22 μB/f.u. For the total energy, the calculation gives -56.53 eV for the cell shown.

=====

Record 12
PuBRu3 | GGA-PBE | optimized geometry

```
10
Lattice="-2.8775 -0.5695 -3.5762 2.8908 -2.1379 -1.9856 -3.3231 -6.7306 2.4089" Properties=species:S:1:pos:R:3 pbc="T T T"
Pu -2.5874 -2.1876 -3.5357
Pu -0.7224 -7.2504 0.3828
B -0.7400 -4.2171 -2.9090
B -2.5698 -5.2209 -0.2439
Ru -3.8345 -6.9079 -0.2687
Ru 0.5246 -2.5301 -2.8842
Ru 0.6198 -4.3444 -0.7920
Ru -3.9297 -5.0936 -2.3609
Ru -1.8680 -3.4059 -1.1764
Ru -1.4418 -6.0321 -1.9765
```

The total magnetic moment is 4.09 μB/f.u. For the total energy, the calculation gives -98.94 eV for the cell shown.

=====

Record 13
PuB2Ru | GGA-PBE | optimized geometry

```
8
Lattice="2.9771 0.0000 -0.8023 0.0000 5.5153 0.0000 0.0944 0.0000 6.2755" Properties=species:S:1:pos:R:3 pbc="T T T"
Pu 2.8341 4.1364 4.5919
Pu 0.2374 1.3788 0.8813
B 0.8127 3.2555 3.0159
B 2.2589 2.2598 2.4573
B 2.2589 0.4979 2.4573
B 0.8127 5.0174 3.0159
Ru 1.9589 4.1364 1.3446
Ru 1.1126 1.3788 4.1286
```

The total magnetic moment is 4.68 μB/f.u. For the distance to the lowest polymorph of the same formula, the calculation gives 0.40 eV/f.u. For the total energy, the calculation gives -76.74 eV for the cell shown.

=====

Record 14
PuBRu3 | GGA-PBE | optimized geometry

```
10
Lattice="-2.8323 0.9593 0.1063 -2.2618 -6.4978 -1.6245 0.3689 0.3077 7.0530" Properties=species:S:1:pos:R:3 pbc="T T T"
Pu -2.9396 -4.1080 0.8641
Pu -1.7856 -1.1227 4.6707
B -1.9751 -1.3481 1.6561
B -2.7501 -3.8826 3.8787
Ru -1.4162 0.4797 0.0531
Ru -0.0734 -0.4657 2.2462
Ru -1.8194 -5.7244 3.1823
Ru -1.1592 -4.0164 5.3601
Ru -0.9464 -3.0950 2.7143
Ru -0.7336 -2.1736 0.0684
```

The total magnetic moment is 3.89 μB/f.u. For the total energy, the calculation gives -99.14 eV for the cell shown.

=====

Record 15
Pu2ScB2Ru5 | GGA-PBE | optimized geometry

```
20
Lattice="3.1226 0.0000 0.0000 0.0000 9.7507 0.0000 0.0000 0.0000 9.7507" Properties=species:S:1:pos:R:3 pbc="T T T"
Pu 0.0000 6.6008 1.7255
Pu 0.0000 3.1498 8.0251
Pu 0.0000 1.7255 3.1498
Pu 0.0000 8.0251 6.6008
Sc 0.0000 0.0000 0.0000
Sc 0.0000 4.8753 4.8753
B 0.0000 1.1824 6.0577
B 0.0000 8.5683 3.6930
B 0.0000 6.0577 8.5683
B 0.0000 3.6930 1.1824
Ru 1.5613 2.1800 0.6883
Ru 1.5613 7.5707 9.0624
Ru 1.5613 0.6883 7.5707
Ru 1.5613 7.0553 4.1870
Ru 1.5613 9.0624 2.1800
Ru 1.5613 2.6954 5.5636
Ru 1.5613 5.5636 7.0553
Ru 1.5613 4.1870 2.6954
Ru 1.5613 4.8753 0.0000
Ru 1.5613 0.0000 4.8753
```

The total magnetic moment is 7.64 μB/f.u. For the total energy, the calculation gives -197.01 eV for the cell shown.

=====

Record 16
Pu2B2Ru5W | GGA-PBE | optimized geometry

```
20
Lattice="3.0446 0.0000 0.0000 0.0000 9.7669 0.0000 0.0000 0.0000 9.7669" Properties=species:S:1:pos:R:3 pbc="T T T"
Pu 0.0000 6.6206 1.7372
Pu 0.0000 3.1463 8.0297
Pu 0.0000 1.7372 3.1463
Pu 0.0000 8.0297 6.6206
B 0.0000 1.1655 6.0490
B 0.0000 8.6014 3.7179
B 0.0000 6.0490 8.6014
B 0.0000 3.7179 1.1655
Ru 1.5223 2.1476 0.6734
Ru 1.5223 7.6193 9.0935
Ru 1.5223 0.6734 7.6193
Ru 1.5223 7.0310 4.2100
Ru 1.5223 9.0935 2.1476
Ru 1.5223 2.7359 5.5569
Ru 1.5223 5.5569 7.0310
Ru 1.5223 4.2100 2.7359
Ru 1.5223 4.8835 0.0000
Ru 1.5223 0.0000 4.8835
W 0.0000 0.0000 0.0000
W 0.0000 4.8835 4.8835
```

The total magnetic moment is 8.37 μB/f.u. For the total energy, the calculation gives -208.32 eV for the cell shown.

=====

Record 17
Pu2ZnB2Ru5 | GGA-PBE | optimized geometry

```
20
Lattice="-0.8954 -2.6898 1.2926 1.2734 -4.4480 -8.3741 9.0747 -1.8784 2.3776" Properties=species:S:1:pos:R:3 pbc="T T T"
Pu 2.4635 -3.3408 -5.2456
Pu 7.8846 -2.9856 -0.7508
Pu 3.1601 -1.3928 -0.7092
Pu 7.1879 -4.9336 -5.2872
Zn 0.0000 0.0000 0.0000
Zn 5.1740 -3.1632 -2.9982
B 5.8200 -1.7234 0.4455
B 4.5280 -4.6030 -6.4420
B 8.7443 -4.4209 -3.1421
B 1.6037 -1.9055 -2.8543
Ru 0.4739 -2.4504 -1.0157
Ru 8.9787 -6.5658 -3.6882
Ru 6.7335 -3.1280 1.9106
Ru 4.3614 -5.3472 -4.3510
Ru 2.7191 -5.8882 -6.6145
Ru 5.0912 -3.6689 -0.3529
Ru 6.8002 -5.2340 -2.4258
Ru 2.6524 -3.7822 -2.2781
Ru 0.1890 -3.5689 -3.5408
Ru 4.0896 -2.2841 1.8351
```

The total magnetic moment is 7.37 μB/f.u. For the total energy, the calculation gives -185.38 eV for the cell shown.

=====

Record 18
Pu3BS6 | GGA-PBE | optimized geometry

```
20
Lattice="6.3076 0.0000 0.0000 0.0000 8.4271 0.0463 0.0000 -1.8354 8.2250" Properties=species:S:1:pos:R:3 pbc="T T T"
Pu 3.0191 6.4294 5.9251
Pu 6.1729 4.3410 7.5895
Pu 2.5948 2.1763 5.0278
Pu 5.7486 4.4154 3.2434
Pu 6.1729 0.1623 2.3461
Pu 3.0191 2.2508 0.6817
B 0.1998 0.1480 6.6443
B 3.3536 6.4438 1.6269
S 1.2531 4.5663 5.2741
S 4.4069 4.1221 5.6281
S 1.0228 1.7542 7.3683
S 4.1766 6.7911 3.3542
S 0.8918 -1.2899 7.7902
S 4.5539 0.2931 6.5286
S 1.4001 6.2986 1.7426
S 4.0456 7.8816 0.4810
S 1.0228 -0.1994 4.9170
S 4.1766 4.8375 0.9029
S 1.2531 2.4696 2.6431
S 4.4069 2.0254 2.9971
```

The total magnetic moment is 15.00 μB/f.u. Its formation energy without anion corrections is -1322 meV per atom. For the total energy, the calculation gives -175.32 eV for the cell shown.

=====

Record 19
Pu2BS6 | GGA-PBE | optimized geometry

```
18
Lattice="-3.5755 4.3469 1.0141 -4.2569 -3.7116 0.9010 2.7447 -0.3915 11.3551" Properties=species:S:1:pos:R:3 pbc="T T T"
Pu 0.9143 -0.1304 3.7827
Pu -1.6295 -0.0085 10.4178
Pu -3.4581 0.2524 2.8524
Pu 1.8304 -0.2611 7.5724
B 0.0000 0.0000 0.0000
B -2.5438 0.1219 6.6351
S -1.5464 0.0645 4.7226
S -4.3028 0.2881 5.3966
S -1.7731 -2.6308 10.7005
S -1.3315 2.5917 10.7738
S -3.7561 -2.3479 2.4964
S -3.3145 2.8746 2.5697
S -0.7848 -0.0442 7.8736
S -3.5412 0.1794 8.5476
S -2.1925 0.1779 0.5361
S -5.6398 0.4575 1.3790
S -2.7346 -2.1339 6.6034
S -2.3531 2.3777 6.6668
```

The total magnetic moment is 7.06 μB/f.u. Its formation energy without anion corrections is -542 meV per atom. For the total energy, the calculation gives -129.98 eV for the cell shown.